{
  "formula": "InPtI2Br",
  "functional": "PBE-GGA",
  "state": "optimized geometry",
  "lattice_angstrom": [[-3.298, 4.809, 0.609], [-1.067, -0.085, -5.103], [-4.697, -3.352, 1.038]],
  "species": ["I", "I", "Br", "Pt", "In"],
  "frac_coords": [[0.000, 0.000, 0.500], [0.500, 0.000, 0.000], [0.500, 0.500, 0.500], [0.000, 0.500, 0.000], [0.000, 0.000, 0.000]],
  "formation_energy_uncorrected_ev_per_atom": 0.55
}

=====

{
  "formula": "RbInIBr",
  "functional": "PBE-GGA",
  "state": "optimized geometry",
  "lattice_angstrom": [[5.987, 0.000, 0.000], [2.993, 5.185, 0.000], [2.993, 1.728, 4.888]],
  "species": ["I", "Br", "Rb", "In"],
  "frac_coords": [[0.250, 0.250, 0.250], [0.750, 0.750, 0.750], [0.000, 0.000, 0.000], [0.500, 0.500, 0.500]],
  "e_above_lowest_polymorph_ev_per_atom": 0.038,
  "formation_energy_uncorrected_ev_per_atom": -1.02
}

=====

{
  "formula": "RbInIBr",
  "functional": "PBE-GGA",
  "state": "optimized geometry",
  "lattice_angstrom": [[5.048, 0.000, 0.000], [0.000, 5.041, 0.297], [0.000, -0.435, 6.947]],
  "species": ["Rb", "In", "I", "Br"],
  "frac_coords": [[0.000, 0.891, 0.092], [0.500, 0.392, 0.593], [0.500, 0.391, 0.093], [0.000, 0.892, 0.592]],
  "e_above_lowest_polymorph_ev_per_atom": 0.000,
  "formation_energy_uncorrected_ev_per_atom": -1.06
}

=====

{
  "formula": "Rb2InIBr6",
  "functional": "PBE-GGA",
  "state": "optimized geometry",
  "lattice_angstrom": [[8.126, 0.000, 0.000], [0.000, 8.126, 0.000], [4.063, 4.063, 6.247]],
  "species": ["I", "Br", "Br", "Br", "Br", "Br", "Br", "Rb", "Rb", "In"],
  "frac_coords": [[0.000, 0.000, 0.000], [0.283, 0.283, 0.433], [0.717, 0.717, 0.567], [0.262, 0.262, 0.000], [0.738, 0.738, 0.000], [0.738, 0.262, 0.000], [0.262, 0.738, 0.000], [0.750, 0.250, 0.500], [0.250, 0.750, 0.500], [0.500, 0.500, 0.000]],
  "formation_energy_uncorrected_ev_per_atom": -0.91
}

=====

{
  "formula": "Rb2InI6Br",
  "functional": "PBE-GGA",
  "state": "optimized geometry",
  "lattice_angstrom": [[-8.184, -2.101, -0.971], [2.053, -8.238, 0.515], [-3.878, -4.970, 6.191]],
  "species": ["I", "I", "I", "I", "I", "I", "Br", "Rb", "Rb", "In"],
  "frac_coords": [[0.227, 0.227, 0.546], [0.773, 0.773, 0.454], [0.245, 0.245, 0.000], [0.755, 0.755, 0.000], [0.755, 0.245, 0.000], [0.245, 0.755, 0.000], [0.500, 0.500, 0.000], [0.750, 0.250, 0.500], [0.250, 0.750, 0.500], [0.000, 0.000, 0.000]],
  "formation_energy_uncorrected_ev_per_atom": -0.68
}

=====

{
  "formula": "Rb2InI2Br2",
  "functional": "PBE-GGA",
  "state": "optimized geometry",
  "lattice_angstrom": [[5.698, 0.000, 0.000], [0.000, 5.698, 0.000], [-2.849, -2.849, 9.405]],
  "species": ["Rb", "Rb", "In", "I", "I", "Br", "Br"],
  "frac_coords": [[0.365, 0.365, 0.731], [0.635, 0.635, 0.269], [0.000, 0.000, 0.000], [0.167, 0.167, 0.334], [0.833, 0.833, 0.666], [0.000, 0.500, 0.000], [0.500, 0.000, 0.000]],
  "formation_energy_uncorrected_ev_per_atom": -1.19
}

=====

{
  "formula": "RbInI2Br",
  "functional": "PBE-GGA",
  "state": "optimized geometry",
  "lattice_angstrom": [[6.137, 0.000, 0.000], [0.000, 6.137, 0.000], [0.000, 0.000, 5.745]],
  "species": ["I", "I", "Br", "Rb", "In"],
  "frac_coords": [[0.000, 0.500, 0.000], [0.500, 0.000, 0.000], [0.000, 0.000, 0.500], [0.500, 0.500, 0.500], [0.000, 0.000, 0.000]],
  "formation_energy_uncorrected_ev_per_atom": -0.95
}

=====

{
  "formula": "InSbI2Br",
  "functional": "PBE-GGA",
  "state": "optimized geometry",
  "lattice_angstrom": [[6.618, 0.000, 0.000], [0.000, 6.618, 0.000], [0.000, 0.000, 5.477]],
  "species": ["I", "I", "Sb", "Br", "In"],
  "frac_coords": [[0.000, 0.500, 0.000], [0.500, 0.000, 0.000], [0.000, 0.000, 0.500], [0.000, 0.000, 0.000], [0.500, 0.500, 0.500]],
  "e_above_lowest_polymorph_ev_per_atom": 0.138,
  "formation_energy_uncorrected_ev_per_atom": 0.36
}

=====

Size of the total moment
In order: 0.873, 0.000, 0.000, 0.000, 0.000, 0.000, 0.000, 2.336
Unit: μB/cell